Below is a geometry-optimized Pr3Ni4C2 structure, with properties calculated at the PBE-GGA level.

Computed properties:
The raw total energy is -57.079 eV per cell. The energy relative to the elements is -130 meV per atom. For the spin magnetization, the calculation gives 0.000 μB/atom.

Cell: 5.603 5.603 7.614 Å, 93.08 93.08 38.74°
Sites, in units of the cell vectors:
Pr  0.000  0.000  0.000
Pr  0.353  0.353  0.351
Pr  0.647  0.647  0.649
Ni  0.078  0.078  0.356
Ni  0.294  0.294  0.904
Ni  0.706  0.706  0.096
Ni  0.922  0.922  0.644
C  0.397  0.397  0.705
C  0.603  0.603  0.295